Below is a relaxed LaGeAsSe2 crystal, with properties calculated at the PBE-GGA level.

Geometry as POSCAR:
```
LaGeAsSe2
1.0
5.6684 0.0000 0.0000
0.0000 5.6684 0.0000
0.0000 0.0000 5.6956
La Ge As Se
1 1 1 2
Direct
0.0000 0.0000 0.0000 La
0.5000 0.5000 0.5000 Ge
0.0000 0.0000 0.5000 As
0.0000 0.5000 0.0000 Se
0.5000 0.0000 0.0000 Se
```

Properties
Uncorrected formation energy in kJ/mol of atoms: 19.6
Energy above the lowest structure with this stoichiometry in eV/f.u.: 3.69

***

Below is a relaxed La2TiGa3Pt4 crystal, with properties calculated at the PBE-GGA level.

Geometry as POSCAR:
```
La2TiGa3Pt4
1.0
4.2587 0.0000 0.0000
0.0000 4.2587 0.0000
0.0000 0.0000 10.9617
La Ti Ga Pt
2 1 3 4
Direct
0.0000 0.5000 0.2463 La
0.5000 0.0000 0.7537 La
0.0000 0.0000 0.5000 Ti
0.0000 0.5000 0.8703 Ga
0.5000 0.0000 0.1297 Ga
0.5000 0.5000 0.5000 Ga
0.0000 0.0000 0.0000 Pt
0.0000 0.5000 0.6386 Pt
0.5000 0.0000 0.3614 Pt
0.5000 0.5000 0.0000 Pt
```

Properties
E_form in kcal/mol of atoms: -22.4

***

Below is a relaxed NiAsP2 crystal, with properties calculated at the PBE-GGA level.

Geometry as POSCAR:
```
NiAsP2
1.0
5.2693 0.0000 0.0000
0.0000 5.2693 0.0000
0.0000 0.0000 10.5656
Ni As P
4 4 8
Direct
0.0000 0.0000 0.0000 Ni
0.0000 0.5000 0.2500 Ni
0.5000 0.0000 0.7500 Ni
0.5000 0.5000 0.5000 Ni
0.0000 0.0000 0.5000 As
0.0000 0.5000 0.7500 As
0.5000 0.0000 0.2500 As
0.5000 0.5000 0.0000 As
0.2097 0.2500 0.1250 P
0.2500 0.7097 0.3750 P
0.2500 0.7903 0.8750 P
0.2903 0.2500 0.6250 P
0.7097 0.7500 0.6250 P
0.7500 0.2097 0.8750 P
0.7500 0.2903 0.3750 P
0.7903 0.7500 0.1250 P
```

Properties
E_form in kcal/mol of atoms: -2.2

***

Below is a relaxed Tb2MnNi3Ge4 crystal, with properties calculated at the PBE-GGA level.

Geometry as POSCAR:
```
Tb2MnNi3Ge4
1.0
4.0588 0.0000 0.0000
0.0000 4.0588 0.0000
0.0000 0.0000 10.0171
Tb Mn Ni Ge
2 1 3 4
Direct
0.0000 0.5000 0.2444 Tb
0.5000 0.0000 0.7556 Tb
0.0000 0.0000 0.5000 Mn
0.0000 0.5000 0.8746 Ni
0.5000 0.0000 0.1254 Ni
0.5000 0.5000 0.5000 Ni
0.0000 0.0000 0.0000 Ge
0.0000 0.5000 0.6389 Ge
0.5000 0.0000 0.3611 Ge
0.5000 0.5000 0.0000 Ge
```

Properties
E_form in kcal/mol of atoms: -14.6

***

Below is a relaxed ErCd3Ag3 crystal, with properties calculated at the PBE-GGA level.

Geometry as POSCAR:
```
ErCd3Ag3
1.0
3.6648 2.1159 6.4949
-3.6648 2.1159 6.4949
0.0000 -4.2318 6.4949
Er Cd Ag
2 6 6
Direct
0.1572 0.1572 0.1572 Er
0.8428 0.8428 0.8428 Er
0.0605 0.2294 0.5811 Cd
0.2294 0.5811 0.0605 Cd
0.4189 0.9395 0.7706 Cd
0.5811 0.0605 0.2294 Cd
0.7706 0.4189 0.9395 Cd
0.9395 0.7706 0.4189 Cd
0.2135 0.4301 0.6793 Ag
0.3207 0.7865 0.5699 Ag
0.4301 0.6793 0.2135 Ag
0.5699 0.3207 0.7865 Ag
0.6793 0.2135 0.4301 Ag
0.7865 0.5699 0.3207 Ag
```

Properties
Energy above the lowest structure with this stoichiometry in eV/f.u.: 0.00
E_form in kcal/mol of atoms: -3.1

***

Below is a relaxed Sr3Zn2Ir4 crystal, with properties calculated at the PBE-GGA level.

Geometry as POSCAR:
```
Sr3Zn2Ir4
1.0
5.6249 -2.1608 0.0000
5.6249 2.1608 0.0000
-5.2469 0.0000 8.6061
Sr Zn Ir
3 2 4
Direct
0.0000 0.0000 0.0000 Sr
0.0995 0.0995 0.3902 Sr
0.9005 0.9005 0.6098 Sr
0.2319 0.2319 0.7809 Zn
0.7681 0.7681 0.2191 Zn
0.2986 0.2986 0.0786 Ir
0.3897 0.3897 0.3721 Ir
0.6103 0.6103 0.6279 Ir
0.7014 0.7014 0.9214 Ir
```

Properties
Energy above the lowest structure with this stoichiometry in eV/f.u.: 0.46
E_form in kcal/mol of atoms: -6.0

***

Below is a relaxed SrAg2IO2 crystal, with properties calculated at the PBE-GGA level.

Geometry as POSCAR:
```
SrAg2IO2
1.0
6.1621 0.0000 0.0000
0.0000 6.0995 0.0000
-0.5183 0.0000 7.5294
Sr Ag I O
2 4 2 4
Direct
0.0355 0.2500 0.1537 Sr
0.9645 0.7500 0.8463 Sr
0.1736 0.2500 0.7020 Ag
0.4814 0.7500 0.0089 Ag
0.5186 0.2500 0.9911 Ag
0.8264 0.7500 0.2980 Ag
0.2444 0.7500 0.4572 I
0.7556 0.2500 0.5428 I
0.2448 0.0123 0.9538 O
0.2448 0.4877 0.9538 O
0.7552 0.5123 0.0462 O
0.7552 0.9877 0.0462 O
```

Properties
Uncorrected formation energy in kJ/mol of atoms: -87.4

***

Below is a relaxed InGaSn6 crystal, with properties calculated at the PBE-GGA level.

Geometry as POSCAR:
```
InGaSn6
1.0
4.9156 0.0000 0.0000
0.0000 4.9156 0.0000
0.0000 0.0000 8.8692
In Ga Sn
1 1 6
Direct
0.0000 0.0000 0.0000 In
0.0000 0.0000 0.5000 Ga
0.0000 0.5000 0.2601 Sn
0.0000 0.5000 0.7399 Sn
0.5000 0.0000 0.2601 Sn
0.5000 0.0000 0.7399 Sn
0.5000 0.5000 0.0000 Sn
0.5000 0.5000 0.5000 Sn
```

Properties
Energy above the lowest structure with this stoichiometry in eV/f.u.: 0.00
E_form in kcal/mol of atoms: 1.3

***

Total energy
In order: -0.2962, -0.4462, -0.3974, -0.4451, -0.1764, -0.3706, -0.2975, -0.2696
Unit: Ry per atom